1.
Material: CaTb3Sm4S8
Method: DFT, PBE
State: optimized geometry Values from VASP.

Summary:
ΔE_f (raw)   -46.66 kcal/mol of atoms
Symmetry   No. 166

The structure in Quantum ESPRESSO input format:
```
&SYSTEM
  ibrav = 0, nat = 16, ntyp = 4
/
ATOMIC_SPECIES
Ca 40.08 Ca.upf
Tb 158.93 Tb.upf
Sm 150.36 Sm.upf
S 32.06 S.upf
ATOMIC_POSITIONS crystal
Ca 0.000 0.500 0.000
Tb 0.500 0.500 0.000
Tb 0.500 0.500 0.500
Tb 0.000 0.500 0.500
Sm 0.500 0.000 0.000
Sm 0.500 0.000 0.500
Sm 0.000 0.000 0.000
Sm 0.000 0.000 0.500
S 0.248 0.742 0.995
S 0.248 0.742 0.495
S 0.253 0.258 0.505
S 0.747 0.742 0.995
S 0.253 0.258 0.005
S 0.747 0.742 0.495
S 0.752 0.258 0.505
S 0.752 0.258 0.005
CELL_PARAMETERS angstrom
-6.464 -4.609 0.158
0.503 -0.976 -7.896
6.230 -1.741 4.604
```

***

2.
Material: CaTbSm4S8
Method: DFT, PBE
State: optimized geometry Values from VASP.

Summary:
ΔE_f (raw)   -45.81 kcal/mol of atoms
Symmetry   No. 160

The structure in Quantum ESPRESSO input format:
```
&SYSTEM
  ibrav = 0, nat = 14, ntyp = 4
/
ATOMIC_SPECIES
Ca 40.08 Ca.upf
Tb 158.93 Tb.upf
Sm 150.36 Sm.upf
S 32.06 S.upf
ATOMIC_POSITIONS crystal
Ca 0.375 0.375 0.874
Tb 0.002 0.002 0.994
Sm 0.625 0.625 0.126
Sm 0.002 0.494 0.502
Sm 0.494 0.002 0.502
Sm 0.002 0.002 0.502
S 0.238 0.779 0.745
S 0.779 0.238 0.745
S 0.238 0.238 0.745
S 0.241 0.241 0.277
S 0.761 0.224 0.254
S 0.224 0.761 0.254
S 0.761 0.761 0.254
S 0.758 0.758 0.726
CELL_PARAMETERS angstrom
-3.489 -7.361 -1.235
4.095 -5.866 -4.088
2.804 -6.609 3.989
```

***

3.
Material: CaSmTeS
Method: DFT, PBE
State: optimized geometry Values from VASP.

Summary:
ΔE_f (raw)   -40.24 kcal/mol of atoms
Symmetry   No. 160

The structure in Quantum ESPRESSO input format:
```
&SYSTEM
  ibrav = 0, nat = 4, ntyp = 4
/
ATOMIC_SPECIES
Ca 40.08 Ca.upf
Sm 150.36 Sm.upf
Te 127.60 Te.upf
S 32.06 S.upf
ATOMIC_POSITIONS crystal
Ca 0.989 0.989 0.034
Sm 0.510 0.510 0.469
Te 0.750 0.750 0.750
S 0.251 0.251 0.247
CELL_PARAMETERS angstrom
4.180 0.000 0.000
2.090 3.620 0.000
2.090 1.207 7.135
```

***

4.
Material: CaSmTm4S8
Method: DFT, PBE
State: optimized geometry Values from VASP.

Summary:
ΔE_f (raw)   -45.83 kcal/mol of atoms
Symmetry   No. 160

The structure in Quantum ESPRESSO input format:
```
&SYSTEM
  ibrav = 0, nat = 14, ntyp = 4
/
ATOMIC_SPECIES
Ca 40.08 Ca.upf
Sm 150.36 Sm.upf
Tm 168.93 Tm.upf
S 32.06 S.upf
ATOMIC_POSITIONS crystal
Ca 0.374 0.374 0.878
Sm 0.002 0.002 0.994
Tm 0.625 0.625 0.124
Tm 0.002 0.494 0.502
Tm 0.494 0.002 0.502
Tm 0.002 0.002 0.502
S 0.245 0.781 0.729
S 0.781 0.245 0.729
S 0.245 0.245 0.729
S 0.238 0.238 0.285
S 0.752 0.230 0.266
S 0.230 0.752 0.266
S 0.752 0.752 0.266
S 0.758 0.758 0.726
CELL_PARAMETERS angstrom
8.009 0.000 0.000
4.005 6.936 0.000
4.005 2.312 6.617
```

***

Number 1: M_tot 0.0 μB per cell. Number 2: M_tot 0.0 μB per cell. Number 3: M_tot 0.0 μB per cell. Number 4: M_tot 0.0 μB per cell.